Entry 1:
VASP calculation (GGA-PBE) on a relaxed MgBeNi crystal.

Geometry as extended XYZ:
```
12
Lattice="3.7021 0.0000 0.0000 0.0000 9.0066 0.0000 0.0000 0.0000 4.7310" Properties=species:S:1:pos:R:3 pbc="T T T"
Mg 0.0000 0.0000 4.7300
Mg 0.0000 4.5033 2.3645
Mg 1.8511 0.0000 2.3655
Mg 1.8511 4.5033 0.0000
Be 0.0000 2.2423 1.2045
Be 0.0000 2.2610 3.5700
Be 0.0000 6.7456 3.5700
Be 0.0000 6.7643 1.2045
Ni 1.8511 1.8357 0.0199
Ni 1.8511 2.6676 2.3854
Ni 1.8511 6.3390 2.3854
Ni 1.8511 7.1709 0.0199
```

Computed properties:
M_tot = 0.00 μB/f.u.
E_tot = -46.13 eV for the cell shown
ΔH_f (0 K) = -0.143 eV/atom
ΔE to the lowest computed polymorph = 0.095 eV/atom
SG = Amm2, No. 38

Entry 2:
VASP calculation (GGA-PBE) on a relaxed DyHIr crystal.

Geometry as extended XYZ:
```
12
Lattice="2.8174 -5.7108 0.0000 2.8174 5.7108 0.0000 -2.4623 0.0000 5.6976" Properties=species:S:1:pos:R:3 pbc="T T T"
Dy 1.5863 5.0763 2.8488
Dy 2.8344 2.3771 1.0797
Dy 1.6033 -2.3771 3.9285
Dy 2.8174 -5.0763 0.0000
H -0.4649 1.1285 4.6050
H 1.0081 3.6651 4.6682
H 0.7662 -1.1285 1.7562
H 2.2392 -3.6651 1.8194
Ir 1.8130 2.3385 3.8878
Ir 1.6691 0.0845 2.5670
Ir 0.4380 -0.0845 5.4158
Ir 3.0441 -2.3385 1.0390
```

Computed properties:
M_tot = 0.00 μB/f.u.
E_tot = -73.62 eV for the cell shown
ΔE to the lowest computed polymorph = 0.000 eV/atom
SG = Cc, No. 9

Entry 3:
VASP calculation (GGA-PBE) on a relaxed BaHg2Br crystal.

Geometry as extended XYZ:
```
8
Lattice="6.5616 0.0000 0.0000 0.0000 13.0592 0.0000 -3.2715 0.0000 3.3108" Properties=species:S:1:pos:R:3 pbc="T T T"
Ba 0.0000 0.0000 0.0000
Ba 3.2808 6.5296 0.0000
Hg 0.0046 3.2648 1.6554
Hg 0.0046 9.7944 1.6554
Hg 3.2854 3.2648 1.6554
Hg 3.2854 9.7944 1.6554
Br 0.0000 6.5296 0.0000
Br 3.2808 0.0000 0.0000
```

Computed properties:
M_tot = 0.00 μB/f.u.
E_tot = -15.34 eV for the cell shown
ΔE to the lowest computed polymorph = 0.029 eV/atom
SG = C2/m, No. 12
ΔE_f (raw) = -0.868 eV/atom

| no. | DOS at the Fermi energy (states/eV/f.u.) |
| --- | --- |
| 1 | 1.37 |
| 2 | 0.51 |
| 3 | 1.75 |